Entry 1:
Crystalline ReSiSe at its relaxed geometry, computed with GGA-PBE.

Calculated values
raw formation energy = 0.5378 eV per atom
offset from the most stable computed form = 360 meV per atom
energy = -19.742 eV per cell
DOS at the Fermi energy = 0.742 states/eV per atom
space group = P-6m2 (187)

a b c (Å): 4.2872 4.2872 2.9766
angles (deg): 90.00 90.00 120.00
With the nearest neighbours (Å) after each atom.
Element x y z (fractional)
Re: 0.0000 0.0000 0.0000  3 Se 2.48
Si: 0.3333 0.6667 0.5000  6 Re 2.89, 6 Se 2.89, 2 Si 2.98
Se: 0.6667 0.3333 0.0000  3 Re 2.48

Entry 2:
Crystalline TlPd2Pt at its relaxed geometry, computed with GGA-PBE.

Calculated values
offset from the most stable computed form = 102 meV per atom
energy = -18.926 eV per cell
E_form = -33 meV/atom
DOS at the Fermi energy = 0.884 states/eV per atom
space group = P4/mmm (123)

a b c (Å): 3.4290 3.4290 5.8759
angles (deg): 90.00 90.00 90.00
With the nearest neighbours (Å) after each atom.
Element x y z (fractional)
Tl: 0.0000 0.0000 0.0000  8 Pd 2.86, 2 Pt 2.94
Pd: 0.5000 0.5000 0.2578  4 Pt 2.81, 2 Pd 2.85-3.03, 4 Tl 2.86
Pd: 0.5000 0.5000 0.7422  4 Pt 2.81, 2 Pd 2.85-3.03, 4 Tl 2.86
Pt: 0.0000 0.0000 0.5000  8 Pd 2.81, 2 Tl 2.94

Q: Which of these has the lowest offset from the most stable computed form?
A: TlPd2Pt